# 1
An optimized crystal structure of ScBP2C, computed with GGA-PBE.

Properties
- Polymorph energy (0 for the lowest one): 114.0 meV/atom

Cell: 4.2645 4.2693 4.5539 Å, 64.89 64.53 75.55°
With the nearest neighbours (Å) after each atom.
Fractional coordinates of all 5 atoms:
Sc 0.0000 0.0000 0.0000  2 C 2.50-2.53, 2 B 2.58-2.62, 2 P 2.74-2.75
B 0.2167 0.5764 0.5039  1 C 1.58
P 0.3250 0.2580 0.2700  1 C 1.84, 1 B 1.92
P 0.7364 0.6908 0.7434  1 C 1.80, 1 B 1.91
C 0.4479 0.8076 0.5108  1 B 1.58

# 2
An optimized crystal structure of Sr2HgPdPb, computed with GGA-PBE.

Properties
- Uncorrected energy: -2.926 eV per atom

Cell: 5.9166 5.9166 5.1487 Å, 90.00 90.00 90.00°
With the nearest neighbours (Å) after each atom.
Fractional coordinates of all 5 atoms:
Sr 0.0000 0.5000 0.0000  2 Pd 2.96
Sr 0.5000 0.0000 0.0000  2 Pd 2.96
Hg 0.0000 0.0000 0.5000  8 Sr 3.92, 4 Pb 4.18
Pd 0.5000 0.5000 0.0000  2 Pb 2.57
Pb 0.5000 0.5000 0.5000  2 Pd 2.57

# 3
An optimized crystal structure of TaFe2Se, computed with GGA-PBE.

Properties
- Formation energy without anion corrections: 160 meV per atom

Cell: 2.8678 2.8678 6.6040 Å, 90.00 90.00 90.00°
With the nearest neighbours (Å) after each atom.
Fractional coordinates of all 4 atoms:
Ta 0.0000 0.0000 0.0000  8 Fe 2.75, 4 Ta 2.87
Fe 0.5000 0.5000 0.2816  4 Se 2.49, 4 Ta 2.75
Fe 0.5000 0.5000 0.7184  4 Se 2.49, 4 Ta 2.75
Se 0.0000 0.0000 0.5000  8 Fe 2.49

DOS at the Fermi energy values (in states/eV/cell) by entry order: 0.63; 2.14; 2.90.